Na2ZnHgF8 PBE-GGA optimized geometry; formation energy from raw total energies = -1.89 eV/atom; space group = P-1 (2); total energy = -41.9 eV per formula unit
1.0
4.939 0.000 0.000
0.366 5.131 0.000
0.452 0.495 7.031
Na Zn Hg F
2 1 1 8
Cartesian
0.126 0.147 1.649
5.630 5.478 5.382
2.652 2.565 0.000
2.878 2.813 3.515
1.465 4.321 3.523
1.342 3.926 0.027
2.040 1.991 5.266
1.814 1.701 1.494
3.943 3.925 5.536
3.716 3.634 1.764
4.415 1.699 7.003
4.292 1.304 3.508

***

NbHg2F6 PBE-GGA optimized geometry; formation energy from raw total energies = -2.25 eV/atom; space group = Fddd (70); total energy = -42.2 eV per formula unit
1.0
0.000 4.531 8.286
4.530 0.000 8.286
4.530 4.531 0.000
Nb Hg F
2 4 12
Cartesian
1.132 1.133 2.072
7.927 7.929 14.501
4.530 2.265 4.143
2.265 4.531 4.143
2.265 2.265 8.286
4.530 4.531 8.286
1.132 1.133 0.142
3.397 0.814 6.215
5.980 3.398 6.215
1.132 1.133 4.002
5.662 3.080 10.358
8.245 5.664 10.358
0.815 3.398 6.215
3.397 5.982 6.215
7.927 7.929 12.571
3.079 5.664 10.358
5.662 8.248 10.358
7.927 7.929 16.431

***

NbHg3F6 PBE-GGA optimized geometry; formation energy from raw total energies = -2.09 eV/atom; space group = P-31m (162); total energy = -43.1 eV per formula unit
1.0
5.276 0.000 0.000
-2.638 4.569 0.000
0.000 0.000 7.682
Nb Hg F
1 3 6
Cartesian
0.000 0.000 0.000
0.000 0.000 3.841
0.000 3.046 3.841
2.638 1.523 3.841
-0.780 1.350 1.160
-1.858 3.219 6.523
1.559 0.000 1.160
0.780 1.350 6.523
3.717 0.000 6.523
1.858 3.219 1.160

***

NbHg2F PBE-GGA optimized geometry; formation energy from raw total energies = 0.01 eV/atom; space group = I-42d (122); total energy = -12.5 eV per formula unit
1.0
7.675 0.000 0.000
0.000 7.675 0.000
0.000 0.000 5.415
Nb Hg F
4 8 4
Cartesian
0.000 0.000 0.000
0.000 3.838 1.354
3.838 0.000 4.061
3.838 3.838 2.708
1.656 1.919 3.384
1.919 5.493 4.738
1.919 6.019 2.031
2.182 1.919 0.677
5.493 5.756 0.677
5.756 1.656 2.031
5.756 2.182 4.738
6.019 5.756 3.384
0.000 0.000 2.708
0.000 3.838 4.061
3.838 0.000 1.354
3.838 3.838 0.000

***

NbHg2F6 PBE-GGA optimized geometry; formation energy from raw total energies = -2.31 eV/atom; space group = P-31m (162); total energy = -42.7 eV per formula unit
1.0
5.174 0.000 0.000
-2.587 4.481 0.000
0.000 0.000 7.088
Nb Hg F
1 2 6
Cartesian
0.000 0.000 0.000
0.000 2.987 3.544
2.587 1.494 3.544
-0.781 1.353 5.935
-1.806 3.128 1.153
1.562 0.000 5.935
0.781 1.353 1.153
3.612 0.000 1.153
1.806 3.128 5.935

***

NbHg2F8 PBE-GGA optimized geometry; formation energy from raw total energies = -2.17 eV/atom; space group = P-3m1 (164); total energy = -49.5 eV per formula unit
1.0
7.377 0.000 0.000
-3.689 6.389 0.000
0.000 0.000 4.426
Nb Hg F
1 2 8
Cartesian
0.000 0.000 0.000
0.000 4.259 1.238
3.689 2.130 3.188
0.000 1.610 1.081
-2.294 5.584 1.081
1.395 0.805 3.345
0.000 4.259 3.446
3.689 2.130 0.980
2.294 5.584 1.081
5.983 0.805 3.345
3.689 4.779 3.345

***

NbHgF PBE-GGA optimized geometry; formation energy from raw total energies = -1.00 eV/atom; space group = Amm2 (38); total energy = -15.2 eV per formula unit
1.0
14.537 0.000 0.000
0.000 2.948 0.000
0.000 0.000 5.352
Nb Hg F
4 4 4
Cartesian
2.450 0.000 0.000
2.450 1.474 2.676
12.086 0.000 0.000
12.086 1.474 2.676
0.000 0.000 3.564
0.000 1.474 0.888
7.268 0.000 4.939
7.268 1.474 2.263
3.881 0.000 3.608
3.881 1.474 0.932
10.656 0.000 3.608
10.656 1.474 0.932

***

NbHgF2 PBE-GGA optimized geometry; formation energy from raw total energies = -0.65 eV/atom; space group = Fm-3m (225); total energy = -16.7 eV per formula unit
1.0
6.324 0.000 0.000
0.000 6.324 0.000
0.000 0.000 6.324
Nb Hg F
4 4 8
Cartesian
0.000 0.000 0.000
0.000 3.162 3.162
3.162 0.000 3.162
3.162 3.162 0.000
0.000 0.000 3.162
0.000 3.162 0.000
3.162 0.000 0.000
3.162 3.162 3.162
1.581 1.581 1.581
1.581 1.581 4.743
1.581 4.743 1.581
1.581 4.743 4.743
4.743 1.581 1.581
4.743 1.581 4.743
4.743 4.743 1.581
4.743 4.743 4.743

***

Question: Among the records above, which one has the highest total energy?
Answer: NbHg2F

***

Question: What is the total energy in the seventh record?
Answer: -15.2 eV per formula unit

***

Please write out number 4 again, unchanged.
NbHg2F PBE-GGA optimized geometry; formation energy from raw total energies = 0.01 eV/atom; space group = I-42d (122); total energy = -12.5 eV per formula unit
1.0
7.675 0.000 0.000
0.000 7.675 0.000
0.000 0.000 5.415
Nb Hg F
4 8 4
Cartesian
0.000 0.000 0.000
0.000 3.838 1.354
3.838 0.000 4.061
3.838 3.838 2.708
1.656 1.919 3.384
1.919 5.493 4.738
1.919 6.019 2.031
2.182 1.919 0.677
5.493 5.756 0.677
5.756 1.656 2.031
5.756 2.182 4.738
6.019 5.756 3.384
0.000 0.000 2.708
0.000 3.838 4.061
3.838 0.000 1.354
3.838 3.838 0.000